LiCdPt (meta-GGA SCAN, single point on PBEsol structure); magnetization = 0.00 μB/atom; relative energy among the computed polymorphs = 0.01 eV per formula unit; calculated total energy = -34.837 eV per atom; density of states at the Fermi level = 0.85 states/eV/cell; space-group type = Imm2
1.0
2.854 0.000 0.000
0.000 3.952 0.000
-1.427 -1.976 4.165
Cd Li Pt
1 1 1
Cartesian
0.000 0.000 0.027
0.000 0.000 2.714
1.427 1.976 1.424

ZrAl2Se (meta-GGA SCAN, single point on PBEsol structure); magnetization = 0.00 μB/atom; formation energy from raw total energies = -318 meV per atom; calculated total energy = -16.888 eV per atom; density of states at the Fermi level = 2.32 states/eV/cell; space-group type = P2/m
1.0
-1.781 2.996 0.183
-2.092 -1.436 3.151
3.628 1.948 3.296
Se Al Zr
1 2 1
Cartesian
-1.937 0.780 1.667
2.715 1.462 2.468
-0.868 3.483 1.011
-0.123 1.754 3.315

TaMoF2 (meta-GGA SCAN, single point on PBEsol structure); magnetization = 0.00 μB/atom; formation energy from raw total energies = 210 meV per atom; calculated total energy = -26.927 eV per atom; density of states at the Fermi level = 2.66 states/eV/cell; space-group type = Fm-3m
1.0
4.166 0.000 0.000
2.083 3.608 0.000
2.083 1.203 3.402
F Mo Ta
2 1 1
Cartesian
6.249 3.608 2.551
2.083 1.203 0.850
0.000 0.000 0.000
4.166 2.405 1.701

HPb3W (meta-GGA SCAN, single point on PBEsol structure); magnetization = 0.20 μB/atom; calculated total energy = -59.227 eV per atom; density of states at the Fermi level = 2.59 states/eV/cell; space-group type = Pm-3m
1.0
-0.896 -2.192 -4.744
-2.685 -3.936 2.326
-4.483 2.796 -0.444
Pb H W
3 1 1
Cartesian
-0.448 -1.096 -2.372
-2.242 1.398 -0.222
-1.343 -1.968 1.163
-4.032 -1.666 -1.431
0.000 0.000 0.000

In2SbP (meta-GGA SCAN, single point on PBEsol structure); magnetization = 0.00 μB/atom; formation energy from raw total energies = 182 meV per atom; relative energy among the computed polymorphs = 0.02 eV per formula unit; calculated total energy = -28.426 eV per atom; density of states at the Fermi level = 1.58 states/eV/cell; space-group type = Cm
1.0
-1.996 -1.600 -2.492
1.804 -4.964 1.743
-3.462 2.681 3.611
In Sb P
2 1 1
Cartesian
-3.192 -0.896 0.573
1.767 -4.948 1.763
-0.564 -2.526 2.075
0.042 -3.760 -0.179

Re24Tc5 (meta-GGA SCAN, single point on PBEsol structure); magnetization = 0.00 μB/atom; calculated total energy = -64.891 eV per atom; density of states at the Fermi level = 24.70 states/eV/cell; space-group type = I-43m
1.0
8.239 0.000 0.000
-2.746 7.768 0.000
-2.746 -3.884 6.727
Re Tc
24 5
Cartesian
-0.560 1.452 2.515
4.933 4.863 0.000
1.556 2.200 1.220
-2.510 3.427 2.120
-1.190 5.611 1.296
-2.510 0.123 4.028
0.952 -2.325 4.028
2.983 -0.457 4.607
5.687 0.748 1.296
4.067 2.448 0.000
-1.425 2.660 4.607
4.067 -1.224 2.120
2.941 6.272 0.000
4.933 -2.431 4.211
0.236 4.006 2.699
3.698 1.558 2.699
2.941 -3.136 5.431
1.556 -0.044 2.515
-3.937 3.840 4.211
0.952 4.651 0.000
-3.937 1.727 5.431
0.236 0.334 4.819
-1.190 -1.684 5.507
2.983 4.218 1.908
-0.973 2.751 0.000
1.774 2.508 4.345
0.000 0.000 0.000
2.918 0.000 0.000
-0.973 -1.375 2.382

CsTc3N (meta-GGA SCAN, single point on PBEsol structure); magnetization = 1.73 μB/atom; formation energy from raw total energies = 4319 meV per atom; calculated total energy = -26.138 eV per atom; density of states at the Fermi level = 2.88 states/eV/cell; space-group type = Pm-3m
1.0
4.848 0.000 0.000
0.000 4.848 0.000
0.000 0.000 4.848
Tc N Cs
3 1 1
Cartesian
2.424 0.000 0.000
0.000 2.424 0.000
0.000 0.000 2.424
2.424 2.424 2.424
0.000 0.000 0.000

CsSc2Au2 (meta-GGA SCAN, single point on PBEsol structure); magnetization = 0.00 μB/atom; calculated total energy = -41.360 eV per atom; density of states at the Fermi level = 4.55 states/eV/cell; space-group type = I4/mmm
1.0
-3.422 -2.532 1.719
2.942 -3.431 0.803
1.638 5.807 5.684
Au Sc Cs
2 2 1
Cartesian
0.193 -2.107 3.410
0.966 1.951 4.797
2.170 -0.303 3.874
-1.012 0.147 4.332
0.000 0.000 0.000

Y2ReP2 (meta-GGA SCAN, single point on PBEsol structure); magnetization = 0.00 μB/atom; relative energy among the computed polymorphs = 0.00 eV per formula unit; calculated total energy = -30.501 eV per atom; density of states at the Fermi level = 6.52 states/eV/cell; space-group type = P4/mbm
1.0
4.271 0.000 0.000
0.000 6.386 0.000
0.000 0.000 6.386
P Y Re
4 4 2
Cartesian
0.000 2.337 5.530
0.000 4.048 0.856
0.000 5.530 4.048
0.000 0.856 2.337
2.135 4.325 5.253
2.135 5.253 2.061
2.135 1.132 4.325
2.135 2.061 1.132
0.000 3.193 3.193
0.000 0.000 0.000

Re2AgSe (meta-GGA SCAN, single point on PBEsol structure); magnetization = 0.00 μB/atom; formation energy from raw total energies = 943 meV per atom; calculated total energy = -47.467 eV per atom; density of states at the Fermi level = 2.90 states/eV/cell; space-group type = P4/mmm
1.0
-2.531 -1.322 0.968
1.543 -1.323 2.227
-1.207 5.176 3.912
Re Se Ag
2 1 1
Cartesian
-0.944 4.047 3.059
-0.263 1.129 0.853
-0.494 -1.323 1.598
-1.098 1.265 3.554

BeAl2Pt (meta-GGA SCAN, single point on PBEsol structure); magnetization = 0.00 μB/atom; calculated total energy = -23.142 eV per atom; density of states at the Fermi level = 0.99 states/eV/cell; space-group type = I4/mmm
1.0
-3.293 1.208 1.451
-1.881 -1.851 -2.728
2.433 -2.640 2.754
Al Pt Be
2 1 1
Cartesian
-1.724 -0.877 1.783
-1.018 -2.406 -0.306
-2.587 -0.321 -0.639
0.000 0.000 0.000

NaSeN2 (meta-GGA SCAN, single point on PBEsol structure); magnetization = 0.00 μB/atom; formation energy from raw total energies = 960 meV per atom; calculated total energy = -9.759 eV per atom; density of states at the Fermi level = 1.14 states/eV/cell; space-group type = R-3m
1.0
-2.356 1.300 1.441
-2.153 -1.742 1.284
1.929 -0.212 6.576
Se Na N
1 1 2
Cartesian
-1.290 -0.327 4.651
0.000 0.000 0.000
0.779 -0.190 4.677
-3.359 -0.463 4.624

- Look up the calculated total energy of the fourth one.
  -59.227 eV per atom

- What is the magnetization in the seventh record?
  1.73 μB/atom

Repeat the tenth record exactly.
Re2AgSe (meta-GGA SCAN, single point on PBEsol structure); magnetization = 0.00 μB/atom; formation energy from raw total energies = 943 meV per atom; calculated total energy = -47.467 eV per atom; density of states at the Fermi level = 2.90 states/eV/cell; space-group type = P4/mmm
1.0
-2.531 -1.322 0.968
1.543 -1.323 2.227
-1.207 5.176 3.912
Re Se Ag
2 1 1
Cartesian
-0.944 4.047 3.059
-0.263 1.129 0.853
-0.494 -1.323 1.598
-1.098 1.265 3.554